1.
KSr2RuAu (SCAN, single point on PBEsol structure); DOS at the Fermi energy = 0.51 states/eV per atom; ΔE_f = 0.19 eV/atom; symmetry = P4/mmm (123)
1.0
5.183 0.000 0.000
0.000 5.639 0.000
0.000 0.000 5.639
Ru K Au Sr
1 1 1 2
Direct
0.000 0.000 0.000
0.500 0.500 0.500
0.500 0.000 0.000
0.000 0.000 0.500
0.000 0.500 0.000

2.
HoRh3C (SCAN, single point on PBEsol structure); DOS at the Fermi energy = 0.13 states/eV per atom; ΔE_f = -0.60 eV/atom; symmetry = Pm-3m (221)
1.0
-0.055 0.154 -4.107
-3.985 -1.008 0.016
-1.006 3.982 0.163
C Rh Ho
1 3 1
Direct
0.500 0.500 0.500
0.000 0.500 0.500
0.500 0.500 0.000
0.500 0.000 0.500
0.000 0.000 0.000